Below is a relaxed structure of HoScSnPd, with properties calculated at the PBE level.

Properties
* uncorrected energy: -92.04 eV/cell
* N(E_F): 0.512 states/eV/atom
* volume: 22.20 Å³ per atom

CIF file:
```
data_HoScSnPd
_chemical_formula_sum 'Ho4 Sc4 Sn4 Pd4'
_cell_length_a 7.083
_cell_length_b 7.083
_cell_length_c 7.083
_cell_angle_alpha 90.00
_cell_angle_beta 90.00
_cell_angle_gamma 90.00
_symmetry_space_group_name_H-M 'F -4 3 m'
_symmetry_Int_Tables_number 216
_symmetry_space_group_name_Hall 'F -4 2 3'
loop_
_atom_site_label
_atom_site_type_symbol
_atom_site_fract_x
_atom_site_fract_y
_atom_site_fract_z
Ho1 Ho 0.000 0.000 0.000
Sc1 Sc 0.000 0.000 0.500
Sn1 Sn 0.250 0.250 0.750
Pd1 Pd 0.250 0.250 0.250
```